A plane-wave DFT calculation with GGA+U was carried out for NaHfCr2O6 after structural relaxation.

Calculated values
As for the total energy: -7.826 eV/atom. The calculation puts the volume at 111.36 Å³/f.u. For the total magnetization, the calculation gives 0.500 μB per atom.

Cell: 5.241 5.297 5.519 Å, 61.88 62.35 59.64°
Last column: magnetic moment on the atom in μB.
Fractional positions:
O 0.338 0.736 0.752  -0.09
Cr 0.022 0.010 0.952  2.25
O 0.176 0.346 0.747  -0.03
Na 0.791 0.794 0.621  0.00
Cr 0.520 0.513 0.449  2.94
O 0.633 0.252 0.220  -0.04
O 0.737 0.173 0.751  -0.08
O 0.896 0.632 0.223  -0.03
Hf 0.303 0.306 0.080  0.03
O 0.246 0.899 0.221  -0.05